Compound: Ba2TlAgS
Source: the Alexandria database
Functional: GGA-PBEsol
Structure: optimized geometry

CIF file:
```
data_Ba2TlAgS
_chemical_formula_sum 'Ba2 Tl1 Ag1 S1'
_symmetry_space_group_name_H-M 'P 4/m m m'
_symmetry_Int_Tables_number 123
_symmetry_space_group_name_Hall '-P 4 2'
_cell_length_a 6.298
_cell_length_b 6.298
_cell_length_c 5.040
_cell_angle_alpha 90.00
_cell_angle_beta 90.00
_cell_angle_gamma 90.00
loop_
_atom_site_label
_atom_site_fract_x
_atom_site_fract_y
_atom_site_fract_z
Ba1 0.000 0.500 0.000
Tl1 0.000 0.000 0.000
Ag1 0.000 0.000 0.500
S1 0.500 0.500 0.500
```

Properties
final energy	-3.0922	eV/atom
size of the total moment	0.00	μB per atom
raw formation energy	-0.84	eV/f.u.